{
  "formula": "Y6Ho12Mg",
  "functional": "PBE",
  "state": "relaxed",
  "cell": [[6.468, 3.734, 4.236], [-6.468, 3.734, 4.236], [0.000, -7.468, 4.236]],
  "species": ["Y", "Y", "Y", "Y", "Y", "Y", "Ho", "Ho", "Ho", "Ho", "Ho", "Ho", "Ho", "Ho", "Ho", "Ho", "Ho", "Ho", "Mg"],
  "fractional_positions": [[0.089, 0.361, 0.361], [0.361, 0.089, 0.361], [0.361, 0.361, 0.089], [0.639, 0.639, 0.911], [0.639, 0.911, 0.639], [0.911, 0.639, 0.639], [0.091, 0.091, 0.666], [0.091, 0.666, 0.091], [0.239, 0.500, 0.761], [0.239, 0.761, 0.500], [0.334, 0.909, 0.909], [0.500, 0.239, 0.761], [0.500, 0.761, 0.239], [0.666, 0.091, 0.091], [0.761, 0.239, 0.500], [0.761, 0.500, 0.239], [0.909, 0.334, 0.909], [0.909, 0.909, 0.334], [0.500, 0.500, 0.500]],
  "polymorph_energy_mev_per_atom": 0,
  "space_group": "R-3m (166)",
  "formation_energy_ev_per_atom": 0.137
}

---

{
  "formula": "ScSi2Ru",
  "functional": "PBE",
  "state": "relaxed",
  "cell": [[6.395, 0.000, 0.000], [0.000, 4.027, 0.000], [0.000, 0.000, 9.681]],
  "species": ["Sc", "Sc", "Sc", "Sc", "Si", "Si", "Si", "Si", "Si", "Si", "Si", "Si", "Ru", "Ru", "Ru", "Ru"],
  "fractional_positions": [[0.227, 0.250, 0.186], [0.273, 0.750, 0.686], [0.727, 0.250, 0.314], [0.773, 0.750, 0.814], [0.034, 0.750, 0.338], [0.244, 0.250, 0.479], [0.256, 0.750, 0.979], [0.466, 0.250, 0.838], [0.534, 0.750, 0.162], [0.744, 0.250, 0.021], [0.756, 0.750, 0.521], [0.966, 0.250, 0.662], [0.091, 0.250, 0.902], [0.409, 0.750, 0.402], [0.591, 0.250, 0.598], [0.909, 0.750, 0.098]],
  "e_form_raw_ev_per_atom": -0.76,
  "space_group": "Pnma (62)"
}

---

{
  "formula": "BMoRu",
  "functional": "PBE",
  "state": "relaxed",
  "cell": [[0.000, 4.000, 5.224], [3.635, 0.000, 5.224], [3.635, 4.000, 0.000]],
  "species": ["B", "B", "B", "B", "Mo", "Mo", "Mo", "Mo", "Ru", "Ru", "Ru", "Ru"],
  "fractional_positions": [[0.058, 0.692, 0.058], [0.308, 0.942, 0.308], [0.692, 0.058, 0.692], [0.942, 0.308, 0.942], [0.000, 0.500, 0.500], [0.500, 0.000, 0.500], [0.500, 0.500, 0.000], [0.500, 0.500, 0.500], [0.017, 0.017, 0.733], [0.267, 0.267, 0.983], [0.733, 0.733, 0.017], [0.983, 0.983, 0.267]],
  "space_group": "Fddd (70)",
  "formation_energy_ev_per_atom": -0.002
}

---

{
  "formula": "U2ReRh",
  "functional": "PBE",
  "state": "relaxed",
  "cell": [[1.485, 0.857, 9.760], [-1.485, 0.857, 9.760], [0.000, -1.715, 9.760]],
  "species": ["U", "U", "Re", "Rh"],
  "fractional_positions": [[0.087, 0.087, 0.087], [0.913, 0.913, 0.913], [0.500, 0.500, 0.500], [0.000, 0.000, 0.000]],
  "space_group": "R-3m (166)",
  "formation_energy_ev_per_atom": 0.205
}

---

Computed values of Fermi-level density of states (unit: states/eV/f.u.) for the preceding records, in sequence: 32.9, 2.5, 2.4, 8.9.